1.
# TaCoBr3 | Alexandria | PBE | optimized geometry
data_TaCoBr3
_chemical_formula_sum 'Ta1 Co1 Br3'
_space_group_name_H-M_alt 'P 1'
_space_group_IT_number 1
_space_group_name_Hall 'P 1'
_cell_length_a 5.1493
_cell_length_b 5.1493
_cell_length_c 5.1493
_cell_angle_alpha 90.00
_cell_angle_beta 90.00
_cell_angle_gamma 90.00
loop_
_atom_site_label
_atom_site_type_symbol
_atom_site_fract_x
_atom_site_fract_y
_atom_site_fract_z
Br1 Br 0.0000 0.5000 0.0000
Br2 Br 0.5000 0.0000 0.0000
Br3 Br 0.0000 0.0000 0.5000
Co1 Co 0.5000 0.5000 0.5000
Ta1 Ta 0.0000 0.0000 0.0000
# * total energy: -4.133 eV/atom
# * M_tot: 3.13 μB per formula unit

=====

2.
# Ta4CoBr | Alexandria | PBE | optimized geometry
data_Ta4CoBr
_chemical_formula_sum 'Ta4 Co1 Br1'
_space_group_name_H-M_alt 'P 1'
_space_group_IT_number 1
_space_group_name_Hall 'P 1'
_cell_length_a 5.4821
_cell_length_b 5.4821
_cell_length_c 5.4821
_cell_angle_alpha 60.00
_cell_angle_beta 60.00
_cell_angle_gamma 60.00
loop_
_atom_site_label
_atom_site_type_symbol
_atom_site_fract_x
_atom_site_fract_y
_atom_site_fract_z
Co1 Co 0.0000 0.0000 0.0000
Ta1 Ta 0.3735 0.3735 0.3735
Ta2 Ta 0.3735 0.3735 0.8794
Ta3 Ta 0.8794 0.3735 0.3735
Ta4 Ta 0.3735 0.8794 0.3735
Br1 Br 0.7500 0.7500 0.7500
# * total energy: -8.367 eV/atom
# * M_tot: 1.66 μB per formula unit

=====

3.
# TaCoBr4 | Alexandria | PBE | optimized geometry
data_TaCoBr4
_chemical_formula_sum 'Ta1 Co1 Br4'
_space_group_name_H-M_alt 'P 1'
_space_group_IT_number 1
_space_group_name_Hall 'P 1'
_cell_length_a 6.0176
_cell_length_b 6.0176
_cell_length_c 6.0176
_cell_angle_alpha 60.00
_cell_angle_beta 60.00
_cell_angle_gamma 60.00
loop_
_atom_site_label
_atom_site_type_symbol
_atom_site_fract_x
_atom_site_fract_y
_atom_site_fract_z
Co1 Co 0.7500 0.7500 0.7500
Br1 Br 0.8753 0.3749 0.3749
Br2 Br 0.3749 0.8753 0.3749
Br3 Br 0.3749 0.3749 0.3749
Br4 Br 0.3749 0.3749 0.8753
Ta1 Ta 0.0000 0.0000 0.0000
# * total energy: -2.620 eV/atom
# * M_tot: 0.45 μB per formula unit

=====

4.
# TaCo4Br | Alexandria | PBE | optimized geometry
data_TaCo4Br
_chemical_formula_sum 'Ta1 Co4 Br1'
_space_group_name_H-M_alt 'P 1'
_space_group_IT_number 1
_space_group_name_Hall 'P 1'
_cell_length_a 4.8414
_cell_length_b 4.8414
_cell_length_c 4.8414
_cell_angle_alpha 60.00
_cell_angle_beta 60.00
_cell_angle_gamma 60.00
loop_
_atom_site_label
_atom_site_type_symbol
_atom_site_fract_x
_atom_site_fract_y
_atom_site_fract_z
Co1 Co 0.3761 0.8717 0.3761
Co2 Co 0.8717 0.3761 0.3761
Co3 Co 0.3761 0.3761 0.3761
Co4 Co 0.3761 0.3761 0.8717
Ta1 Ta 0.7500 0.7500 0.7500
Br1 Br 0.0000 0.0000 0.0000
# * total energy: -6.524 eV/atom
# * M_tot: 4.11 μB per formula unit

=====

5.
# TaCo2TeBr | Alexandria | PBE | optimized geometry
data_TaCo2TeBr
_chemical_formula_sum 'Ta1 Co2 Te1 Br1'
_space_group_name_H-M_alt 'P 1'
_space_group_IT_number 1
_space_group_name_Hall 'P 1'
_cell_length_a 4.3744
_cell_length_b 4.9049
_cell_length_c 4.3744
_cell_angle_alpha 90.00
_cell_angle_beta 90.00
_cell_angle_gamma 90.00
loop_
_atom_site_label
_atom_site_type_symbol
_atom_site_fract_x
_atom_site_fract_y
_atom_site_fract_z
Ta1 Ta 0.0000 0.5000 0.0000
Co1 Co 0.0000 0.0000 0.5000
Co2 Co 0.5000 0.0000 0.0000
Br1 Br 0.0000 0.0000 0.0000
Te1 Te 0.5000 0.5000 0.5000
# * total energy: -5.010 eV/atom
# * M_tot: 0.99 μB per formula unit

=====

6.
# TaTlCo2Br | Alexandria | PBE | optimized geometry
data_TaTlCo2Br
_chemical_formula_sum 'Ta1 Tl1 Co2 Br1'
_space_group_name_H-M_alt 'P 1'
_space_group_IT_number 1
_space_group_name_Hall 'P 1'
_cell_length_a 4.8398
_cell_length_b 5.3257
_cell_length_c 4.8398
_cell_angle_alpha 90.00
_cell_angle_beta 90.00
_cell_angle_gamma 90.00
loop_
_atom_site_label
_atom_site_type_symbol
_atom_site_fract_x
_atom_site_fract_y
_atom_site_fract_z
Ta1 Ta 0.0000 0.5000 0.0000
Tl1 Tl 0.0000 0.0000 0.0000
Co1 Co 0.5000 0.0000 0.0000
Co2 Co 0.0000 0.0000 0.5000
Br1 Br 0.5000 0.5000 0.5000
# * total energy: -4.108 eV/atom
# * M_tot: 3.92 μB per formula unit

=====

7.
# TaVCoBr2 | Alexandria | PBE | optimized geometry
data_TaVCoBr2
_chemical_formula_sum 'Ta1 V1 Co1 Br2'
_space_group_name_H-M_alt 'P 1'
_space_group_IT_number 1
_space_group_name_Hall 'P 1'
_cell_length_a 4.6885
_cell_length_b 5.1476
_cell_length_c 4.6885
_cell_angle_alpha 90.00
_cell_angle_beta 90.00
_cell_angle_gamma 90.00
loop_
_atom_site_label
_atom_site_type_symbol
_atom_site_fract_x
_atom_site_fract_y
_atom_site_fract_z
Ta1 Ta 0.0000 0.5000 0.0000
Co1 Co 0.5000 0.5000 0.5000
Br1 Br 0.0000 0.0000 0.5000
Br2 Br 0.5000 0.0000 0.0000
V1 V 0.0000 0.0000 0.0000
# * total energy: -4.977 eV/atom
# * M_tot: 1.43 μB per formula unit

=====

8.
# Tb3CoBr2 | Alexandria | PBE | optimized geometry
data_Tb3CoBr2
_chemical_formula_sum 'Tb3 Co1 Br2'
_space_group_name_H-M_alt 'P 1'
_space_group_IT_number 1
_space_group_name_Hall 'P 1'
_cell_length_a 3.8399
_cell_length_b 5.6903
_cell_length_c 7.9399
_cell_angle_alpha 111.00
_cell_angle_beta 103.99
_cell_angle_gamma 90.00
loop_
_atom_site_label
_atom_site_type_symbol
_atom_site_fract_x
_atom_site_fract_y
_atom_site_fract_z
Br1 Br 0.6877 0.1877 0.3755
Br2 Br 0.3123 0.8123 0.6245
Co1 Co 0.0000 0.5000 0.0000
Tb1 Tb 0.0000 0.0000 0.0000
Tb2 Tb 0.3793 0.3793 0.7586
Tb3 Tb 0.6207 0.6207 0.2414
# * total energy: -4.927 eV/atom
# * M_tot: 0.00 μB per formula unit

=====

9.
# Tb3CoBr | Alexandria | PBE | optimized geometry
data_Tb3CoBr
_chemical_formula_sum 'Tb6 Co2 Br2'
_space_group_name_H-M_alt 'P 1'
_space_group_IT_number 1
_space_group_name_Hall 'P 1'
_cell_length_a 3.6975
_cell_length_b 9.4084
_cell_length_c 7.9381
_cell_angle_alpha 90.00
_cell_angle_beta 90.00
_cell_angle_gamma 90.00
loop_
_atom_site_label
_atom_site_type_symbol
_atom_site_fract_x
_atom_site_fract_y
_atom_site_fract_z
Co1 Co 0.7500 0.2500 0.9874
Co2 Co 0.2500 0.7500 0.0126
Tb1 Tb 0.2500 0.2500 0.7577
Tb2 Tb 0.7500 0.7500 0.2423
Tb3 Tb 0.7500 0.5722 0.8412
Tb4 Tb 0.2500 0.4278 0.1588
Tb5 Tb 0.7500 0.9278 0.8412
Tb6 Tb 0.2500 0.0722 0.1588
Br1 Br 0.2500 0.7500 0.5620
Br2 Br 0.7500 0.2500 0.4380
# * total energy: -5.004 eV/atom
# * M_tot: 0.00 μB per formula unit

=====

10.
# Tb5Co2Br2 | Alexandria | PBE | optimized geometry
data_Tb5Co2Br2
_chemical_formula_sum 'Tb10 Co4 Br4'
_space_group_name_H-M_alt 'P 1'
_space_group_IT_number 1
_space_group_name_Hall 'P 1'
_cell_length_a 7.5874
_cell_length_b 7.5851
_cell_length_c 8.8156
_cell_angle_alpha 90.00
_cell_angle_beta 64.51
_cell_angle_gamma 90.00
loop_
_atom_site_label
_atom_site_type_symbol
_atom_site_fract_x
_atom_site_fract_y
_atom_site_fract_z
Tb1 Tb 0.7360 0.3454 0.2181
Tb2 Tb 0.0459 0.6546 0.2181
Tb3 Tb 0.2640 0.6546 0.7819
Tb4 Tb 0.5459 0.8454 0.2181
Tb5 Tb 0.5000 0.5000 0.0000
Tb6 Tb 0.7640 0.8454 0.7819
Tb7 Tb 0.9541 0.3454 0.7819
Tb8 Tb 0.0000 0.0000 0.0000
Tb9 Tb 0.4541 0.1546 0.7819
Tb10 Tb 0.2360 0.1546 0.2181
Co1 Co 0.1412 0.3605 0.0000
Co2 Co 0.3588 0.8605 0.0000
Co3 Co 0.6412 0.1395 0.0000
Co4 Co 0.8588 0.6395 0.0000
Br1 Br 0.7151 0.5000 0.5699
Br2 Br 0.2849 0.5000 0.4301
Br3 Br 0.7849 0.0000 0.4301
Br4 Br 0.2151 0.0000 0.5699
# * total energy: -5.118 eV/atom
# * M_tot: 0.00 μB per formula unit

=====

11.
# Tb3CoBr3 | Alexandria | PBE | optimized geometry
data_Tb3CoBr3
_chemical_formula_sum 'Tb6 Co2 Br6'
_space_group_name_H-M_alt 'P 1'
_space_group_IT_number 1
_space_group_name_Hall 'P 1'
_cell_length_a 3.9974
_cell_length_b 8.5559
_cell_length_c 11.7760
_cell_angle_alpha 92.14
_cell_angle_beta 90.00
_cell_angle_gamma 90.00
loop_
_atom_site_label
_atom_site_type_symbol
_atom_site_fract_x
_atom_site_fract_y
_atom_site_fract_z
Br1 Br 0.7500 0.5777 0.6304
Br2 Br 0.7500 0.1350 0.1040
Br3 Br 0.7500 0.6528 0.1418
Br4 Br 0.2500 0.8650 0.8960
Br5 Br 0.2500 0.4223 0.3696
Br6 Br 0.2500 0.3472 0.8582
Tb1 Tb 0.7500 0.1349 0.3697
Tb2 Tb 0.2500 0.8651 0.6303
Tb3 Tb 0.2500 0.8984 0.1734
Tb4 Tb 0.7500 0.7262 0.3955
Tb5 Tb 0.7500 0.1016 0.8266
Tb6 Tb 0.2500 0.2738 0.6045
Co1 Co 0.2500 0.9382 0.4019
Co2 Co 0.7500 0.0618 0.5981
# * total energy: -4.904 eV/atom
# * M_tot: 0.00 μB per formula unit

=====

12.
# TbThCoBr | Alexandria | PBE | optimized geometry
data_TbThCoBr
_chemical_formula_sum 'Tb1 Th1 Co1 Br1'
_space_group_name_H-M_alt 'P 1'
_space_group_IT_number 1
_space_group_name_Hall 'P 1'
_cell_length_a 3.9790
_cell_length_b 3.9787
_cell_length_c 8.1206
_cell_angle_alpha 90.01
_cell_angle_beta 104.17
_cell_angle_gamma 120.00
loop_
_atom_site_label
_atom_site_type_symbol
_atom_site_fract_x
_atom_site_fract_y
_atom_site_fract_z
Co1 Co 0.3082 0.5519 0.8756
Br1 Br 0.9731 0.3850 0.3727
Th1 Th 0.0863 0.9410 0.0428
Tb1 Tb 0.5103 0.1529 0.6786
# * total energy: -5.943 eV/atom
# * M_tot: 0.00 μB per formula unit

=====

13.
# Tb6ZnCo2Br3 | Alexandria | PBE | optimized geometry
data_Tb6ZnCo2Br3
_chemical_formula_sum 'Tb6 Zn1 Co2 Br3'
_space_group_name_H-M_alt 'P 1'
_space_group_IT_number 1
_space_group_name_Hall 'P 1'
_cell_length_a 6.8786
_cell_length_b 6.8786
_cell_length_c 7.9274
_cell_angle_alpha 98.30
_cell_angle_beta 98.30
_cell_angle_gamma 120.02
loop_
_atom_site_label
_atom_site_type_symbol
_atom_site_fract_x
_atom_site_fract_y
_atom_site_fract_z
Co1 Co 0.6669 0.3331 0.0000
Co2 Co 0.3331 0.6669 0.0000
Br1 Br 0.1654 0.8346 0.5000
Br2 Br 0.8346 0.1654 0.5000
Br3 Br 0.5000 0.5000 0.5000
Tb1 Tb 0.4272 0.0659 0.1970
Tb2 Tb 0.0659 0.4272 0.1970
Tb3 Tb 0.9341 0.5728 0.8030
Tb4 Tb 0.2964 0.2964 0.8041
Tb5 Tb 0.7036 0.7036 0.1959
Tb6 Tb 0.5728 0.9341 0.8030
Zn1 Zn 0.0000 0.0000 0.0000
# * total energy: -4.746 eV/atom
# * M_tot: 0.00 μB per formula unit